Record 1
This record from the Alexandria database describes CsTlTe3As after structural relaxation. The functional is PBE-GGA.

The space group is Cmcm (No. 63) and the conventional cell measures 8.117, 15.553 and 7.914 Å, with angles of 90.00, 90.00 and 90.00 degrees. Symmetry generates all atoms from Cs at (0.000, 0.241, 0.250), Tl at (0.000, 0.091, 0.750), Te at (0.000, 0.282, 0.750), Te at (0.241, 0.500, 0.000) and As at (0.000, 0.456, 0.750).

The electronic total energy comes out at -3.22 eV per atom. For the density of states at the Fermi level, the calculation gives 4.73 states/eV per cell.

---

Record 2
This record from the Alexandria database describes CsThAs after structural relaxation. The functional is PBE-GGA.

The space group is C2/m (No. 12) and the conventional cell measures 5.965, 5.960 and 15.339 Å, with angles of 90.00, 93.50 and 90.00 degrees. Symmetry generates all atoms from Cs at (0.213, 0.000, 0.342), Th at (0.237, 0.000, 0.917) and As at (0.231, 0.500, 0.886).

The electronic total energy comes out at -5.01 eV per atom. For the density of states at the Fermi level, the calculation gives 10.19 states/eV per cell.

---

Record 3
This record from the Alexandria database describes Cs3TiAs after structural relaxation. The functional is PBE-GGA.

The space group is Pm-3m (No. 221) and the conventional cell measures 7.064, 7.064 and 7.064 Å, with angles of 90.00, 90.00 and 90.00 degrees. Symmetry generates all atoms from Cs at (0.000, 0.000, 0.500), Ti at (0.500, 0.500, 0.500) and As at (0.000, 0.000, 0.000).

The electronic total energy comes out at -2.32 eV per atom. For the density of states at the Fermi level, the calculation gives 43.07 states/eV per cell.

---

Record 4
This record from the Alexandria database describes Cs2Ti2As after structural relaxation. The functional is PBE-GGA.

The space group is I4/mmm (No. 139) and the conventional cell measures 3.646, 3.646 and 25.804 Å, with angles of 90.00, 90.00 and 90.00 degrees. Symmetry generates all atoms from Cs at (0.000, 0.000, 0.099), Ti at (0.000, 0.500, 0.250) and As at (0.000, 0.000, 0.500).

The electronic total energy comes out at -3.82 eV per atom. For the density of states at the Fermi level, the calculation gives 11.74 states/eV per cell.